(1)
## KSnGeCl5 (PBE)

Data for an optimized crystal structure of KSnGeCl5.

Computed properties:
ΔE_f (raw)	-9.3	eV/f.u.

Cell: 7.548 7.548 11.086 Å, 110.95 110.95 95.86°
Sites, in units of the cell vectors:
Cl  0.398  0.234  0.097
Cl  0.961  0.039  0.750
Cl  0.766  0.602  0.403
Cl  0.645  0.116  0.416
Cl  0.039  0.961  0.250
Cl  0.602  0.766  0.903
Cl  0.116  0.645  0.916
Cl  0.884  0.355  0.084
Cl  0.355  0.884  0.584
Cl  0.234  0.398  0.597
Sn  0.000  0.000  0.000
Sn  0.000  0.000  0.500
K  0.323  0.677  0.250
K  0.677  0.323  0.750
Ge  0.731  0.269  0.250
Ge  0.269  0.731  0.750



(2)
## KSrGeCl5 (PBE)

Data for an optimized crystal structure of KSrGeCl5.

Computed properties:
ΔE_f (raw)	-13.6	eV/f.u.

Cell: 7.618 7.618 11.204 Å, 111.04 111.04 96.02°
Sites, in units of the cell vectors:
Cl  0.115  0.641  0.911
Cl  0.885  0.359  0.089
Cl  0.641  0.115  0.411
Cl  0.400  0.241  0.095
Cl  0.759  0.600  0.405
Cl  0.600  0.759  0.905
Cl  0.957  0.043  0.750
Cl  0.359  0.885  0.589
Cl  0.043  0.957  0.250
Cl  0.241  0.400  0.595
Ge  0.728  0.272  0.250
Ge  0.272  0.728  0.750
K  0.678  0.322  0.750
K  0.322  0.678  0.250
Sr  0.000  0.000  0.500
Sr  0.000  0.000  0.000



(3)
## K2SrGeCl (PBE)

Data for an optimized crystal structure of K2SrGeCl.

Computed properties:
ΔE_f (raw)	-1.6	eV/f.u.

Cell: 5.712 6.108 5.712 Å, 90.00 90.00 90.00°
Sites, in units of the cell vectors:
Ge  0.000  0.500  0.000
K  0.000  0.000  0.500
K  0.500  0.000  0.000
Sr  0.500  0.500  0.500
Cl  0.000  0.000  0.000



(4)
## KTbGe2Cl8 (PBE)

Data for an optimized crystal structure of KTbGe2Cl8.

Computed properties:
ΔE_f (raw)	-17.7	eV/f.u.

Cell: 6.872 6.329 8.950 Å, 89.38 86.73 85.88°
Sites, in units of the cell vectors:
Cl  0.812  0.213  0.791
Cl  0.188  0.787  0.209
Cl  0.643  0.723  0.438
Cl  0.138  0.735  0.781
Cl  0.862  0.265  0.219
Cl  0.357  0.277  0.562
Cl  0.313  0.240  0.961
Cl  0.687  0.760  0.039
Tb  0.000  0.000  0.000
Ge  0.453  0.461  0.762
Ge  0.547  0.539  0.238
K  0.000  0.000  0.500



(5)
## K3Tl4GeCl8 (PBE)

Data for an optimized crystal structure of K3Tl4GeCl8.

Computed properties:
ΔE_f (raw)	-19.3	eV/f.u.

Cell: 8.863 8.949 9.223 Å, 119.06 118.72 90.00°
Sites, in units of the cell vectors:
Cl  0.230  0.282  0.007
Cl  0.253  0.259  0.506
Cl  0.747  0.741  0.494
Cl  0.224  0.718  0.993
Cl  0.277  0.770  0.554
Cl  0.776  0.282  0.007
Cl  0.723  0.230  0.446
Cl  0.770  0.718  0.993
K  0.000  0.500  0.500
K  0.500  0.500  0.500
K  0.500  0.500  0.000
Tl  0.500  0.000  0.500
Tl  0.000  0.000  0.500
Tl  0.000  0.000  0.000
Tl  0.500  0.000  0.000
Ge  0.000  0.500  0.000



(6)
## KTlGe2Cl (PBE)

Data for an optimized crystal structure of KTlGe2Cl.

Computed properties:
ΔE_f (raw)	4.9	eV/f.u.

Cell: 5.742 7.094 5.742 Å, 90.00 90.00 90.00°
Sites, in units of the cell vectors:
Tl  0.000  0.500  0.000
K  0.000  0.000  0.000
Ge  0.500  0.000  0.000
Ge  0.000  0.000  0.500
Cl  0.500  0.500  0.500



(7)
## KVGe2Cl8 (PBE)

Data for an optimized crystal structure of KVGe2Cl8.

Computed properties:
ΔE_f (raw)	-13.4	eV/f.u.

Cell: 7.607 6.258 8.390 Å, 91.76 93.98 62.57°
Sites, in units of the cell vectors:
Cl  0.257  0.992  0.836
Cl  0.681  0.643  0.437
Cl  0.980  0.691  0.830
Cl  0.319  0.357  0.563
Cl  0.756  0.286  0.830
Cl  0.244  0.714  0.170
Cl  0.020  0.309  0.170
Cl  0.743  0.008  0.164
V  0.000  0.000  0.000
Ge  0.672  0.644  0.166
Ge  0.328  0.356  0.834
K  0.000  0.000  0.500



(8)
## KVGeCl6 (PBE)

Data for an optimized crystal structure of KVGeCl6.

Computed properties:
ΔE_f (raw)	-11.4	eV/f.u.

Cell: 6.642 6.642 6.848 Å, 90.00 90.00 59.99°
Sites, in units of the cell vectors:
Cl  0.618  0.354  0.702
Cl  0.028  0.354  0.298
Cl  0.354  0.618  0.298
Cl  0.354  0.028  0.702
Cl  0.028  0.618  0.702
Cl  0.618  0.028  0.298
Ge  0.667  0.667  0.500
K  0.000  0.000  0.000
V  0.333  0.333  0.500



The following total magnetization values (in Bohr magnetons per cell) correspond, in order, to the records above: 0.00, 0.00, 0.91, 0.00, 1.00, 2.36, 2.00, 2.00.